Version one
Compound: BaScCl
Source: the Alexandria database
Functional: GGA-PBEsol
Structure: optimized geometry

```
data_BaScCl
_chemical_formula_sum 'Ba2 Sc2 Cl2'
_space_group_name_H-M_alt 'I 4 m m'
_space_group_IT_number 107
_space_group_name_Hall 'I 4 -2'
_cell_length_a 3.4754
_cell_length_b 3.4754
_cell_length_c 13.5801
_cell_angle_alpha 90.00
_cell_angle_beta 90.00
_cell_angle_gamma 90.00
loop_
_atom_site_label
_atom_site_fract_x
_atom_site_fract_y
_atom_site_fract_z
_atom_site_occupancy
Ba1 0.0000 0.0000 0.0000 1
Sc1 0.0000 0.0000 0.7102 1
Cl1 0.0000 0.0000 0.3214 1
```

---

Version two
Compound: BaScCl
Source: the Alexandria database
Functional: GGA-PBEsol
Structure: optimized geometry

```
data_BaScCl
_chemical_formula_sum 'Ba1 Sc1 Cl1'
_space_group_name_H-M_alt 'P 3 m 1'
_space_group_IT_number 156
_cell_length_a 3.6354
_cell_length_b 3.6354
_cell_length_c 7.3600
_cell_angle_alpha 90.00
_cell_angle_beta 90.00
_cell_angle_gamma 120.00
loop_
_space_group_symop_operation_xyz
'x,y,z'
'-y,x-y,z'
'-x+y,-x,z'
'-y,-x,z'
'-x+y,y,z'
'x,x-y,z'
loop_
_atom_site_label
_atom_site_fract_x
_atom_site_fract_y
_atom_site_fract_z
_atom_site_occupancy
Ba1 0.0000 0.0000 0.0000 1
Sc1 0.6667 0.3333 0.4100 1
Cl1 0.3333 0.6667 0.6436 1
```

---

Most stable to least stable, the ends of the list are version two and version one.

---

Version one
Compound: Ba2SeCl
Source: the Alexandria database
Functional: GGA-PBEsol
Structure: optimized geometry

```
data_Ba2SeCl
_chemical_formula_sum 'Ba6 Se3 Cl3'
_space_group_name_H-M_alt 'R -3 m'
_space_group_IT_number 166
_space_group_name_Hall '-R 3 2"'
_cell_length_a 4.5748
_cell_length_b 4.5748
_cell_length_c 21.8299
_cell_angle_alpha 90.00
_cell_angle_beta 90.00
_cell_angle_gamma 120.00
loop_
_atom_site_label
_atom_site_fract_x
_atom_site_fract_y
_atom_site_fract_z
_atom_site_occupancy
Ba1 0.0000 0.0000 0.2485 1
Se1 0.0000 0.0000 0.5000 1
Cl1 0.0000 0.0000 0.0000 1
```

---

Version two
Compound: Ba2SeCl
Source: the Alexandria database
Functional: GGA-PBEsol
Structure: optimized geometry

```
data_Ba2SeCl
_chemical_formula_sum 'Ba4 Se2 Cl2'
_space_group_name_H-M_alt 'A m m 2'
_space_group_IT_number 38
_cell_length_a 4.8498
_cell_length_b 4.2053
_cell_length_c 12.4471
_cell_angle_alpha 90.00
_cell_angle_beta 90.00
_cell_angle_gamma 90.00
loop_
_space_group_symop_operation_xyz
'x,y,z'
'-x,-y,z'
'-x,y,z'
'x,-y,z'
'x,y+1/2,z+1/2'
'-x,-y+1/2,z+1/2'
'-x,y+1/2,z+1/2'
'x,-y+1/2,z+1/2'
loop_
_atom_site_label
_atom_site_fract_x
_atom_site_fract_y
_atom_site_fract_z
_atom_site_occupancy
Ba1 0.0000 0.0000 0.0000 1
Ba2 0.5000 0.0000 0.2604 1
Se1 0.0000 0.0000 0.7341 1
Cl1 0.5000 0.0000 0.5060 1
```

---

Version three
Compound: Ba2SeCl
Source: the Alexandria database
Functional: GGA-PBEsol
Structure: optimized geometry

```
data_Ba2SeCl
_chemical_formula_sum 'Ba4 Se2 Cl2'
_space_group_name_H-M_alt 'I -4 m 2'
_space_group_IT_number 119
_space_group_name_Hall 'I -4 -2'
_cell_length_a 4.4741
_cell_length_b 4.4741
_cell_length_c 14.0667
_cell_angle_alpha 90.00
_cell_angle_beta 90.00
_cell_angle_gamma 90.00
loop_
_atom_site_label
_atom_site_fract_x
_atom_site_fract_y
_atom_site_fract_z
_atom_site_occupancy
Ba1 0.0000 0.0000 0.0000 1
Ba2 0.0000 0.5000 0.2500 1
Se1 0.0000 0.5000 0.7500 1
Cl1 0.0000 0.0000 0.5000 1
```

---

Most stable to least stable, the ends of the list are version one and version three.

---

Version one
Compound: BaSiCl2
Source: the Alexandria database
Functional: GGA-PBEsol
Structure: optimized geometry

```
data_BaSiCl2
_chemical_formula_sum 'Ba2 Si2 Cl4'
_space_group_name_H-M_alt 'C 1 2/m 1'
_space_group_IT_number 12
_cell_length_a 9.6130
_cell_length_b 3.9913
_cell_length_c 5.6851
_cell_angle_alpha 90.00
_cell_angle_beta 92.16
_cell_angle_gamma 90.00
loop_
_space_group_symop_operation_xyz
'x,y,z'
'-x,-y,-z'
'-x,y,-z'
'x,-y,z'
'x+1/2,y+1/2,z'
'-x+1/2,-y+1/2,-z'
'-x+1/2,y+1/2,-z'
'x+1/2,-y+1/2,z'
loop_
_atom_site_label
_atom_site_fract_x
_atom_site_fract_y
_atom_site_fract_z
_atom_site_occupancy
Ba1 0.0000 0.0000 0.0000 1
Si1 0.0000 0.5000 0.5000 1
Cl1 0.2074 0.5000 0.2504 1
```

---

Version two
Compound: BaSiCl2
Source: the Alexandria database
Functional: GGA-PBEsol
Structure: optimized geometry

```
data_BaSiCl2
_chemical_formula_sum 'Ba1 Si1 Cl2'
_space_group_name_H-M_alt 'P m m 2'
_space_group_IT_number 25
_cell_length_a 3.9346
_cell_length_b 5.0129
_cell_length_c 5.9311
_cell_angle_alpha 90.00
_cell_angle_beta 90.00
_cell_angle_gamma 90.00
loop_
_space_group_symop_operation_xyz
'x,y,z'
'-x,-y,z'
'-x,y,z'
'x,-y,z'
loop_
_atom_site_label
_atom_site_fract_x
_atom_site_fract_y
_atom_site_fract_z
_atom_site_occupancy
Ba1 0.0000 0.0000 0.0000 1
Si1 0.5000 0.5000 0.7811 1
Cl1 0.0000 0.0000 0.4972 1
Cl2 0.5000 0.5000 0.1733 1
```

---

Most stable to least stable, the ends of the list are version one and version two.

---

Version one
Compound: Ba2SrCl
Source: the Alexandria database
Functional: GGA-PBEsol
Structure: optimized geometry

```
data_Ba2SrCl
_chemical_formula_sum 'Ba2 Sr1 Cl1'
_space_group_name_H-M_alt 'P 4 m m'
_space_group_IT_number 99
_cell_length_a 4.3356
_cell_length_b 4.3356
_cell_length_c 10.7254
_cell_angle_alpha 90.00
_cell_angle_beta 90.00
_cell_angle_gamma 90.00
loop_
_space_group_symop_operation_xyz
'x,y,z'
'-y,x,z'
'-x,-y,z'
'y,-x,z'
'-x,y,z'
'y,x,z'
'x,-y,z'
'-y,-x,z'
loop_
_atom_site_label
_atom_site_fract_x
_atom_site_fract_y
_atom_site_fract_z
_atom_site_occupancy
Ba1 0.0000 0.0000 0.0000 1
Ba2 0.5000 0.5000 0.3052 1
Sr1 0.5000 0.5000 0.7158 1
Cl1 0.0000 0.0000 0.3070 1
```

---

Version two
Compound: Ba2SrCl
Source: the Alexandria database
Functional: GGA-PBEsol
Structure: optimized geometry

```
data_Ba2SrCl
_chemical_formula_sum 'Ba2 Sr1 Cl1'
_space_group_name_H-M_alt 'P m m m'
_space_group_IT_number 47
_cell_length_a 4.2707
_cell_length_b 6.2519
_cell_length_c 6.9129
_cell_angle_alpha 90.00
_cell_angle_beta 90.00
_cell_angle_gamma 90.00
loop_
_space_group_symop_operation_xyz
'x,y,z'
'-x,-y,-z'
'-x,-y,z'
'x,y,-z'
'x,-y,-z'
'-x,y,z'
'-x,y,-z'
'x,-y,z'
loop_
_atom_site_label
_atom_site_fract_x
_atom_site_fract_y
_atom_site_fract_z
_atom_site_occupancy
Ba1 0.0000 0.0000 0.0000 1
Ba2 0.5000 0.0000 0.5000 1
Sr1 0.0000 0.5000 0.5000 1
Cl1 0.5000 0.5000 0.0000 1
```

---

Most stable to least stable, the ends of the list are version one and version two.

---

Version one
Compound: BaSr2Cl
Source: the Alexandria database
Functional: GGA-PBEsol
Structure: optimized geometry

```
data_BaSr2Cl
_chemical_formula_sum 'Ba2 Sr4 Cl2'
_space_group_name_H-M_alt 'I m m 2'
_space_group_IT_number 44
_cell_length_a 4.0897
_cell_length_b 7.3506
_cell_length_c 12.3628
_cell_angle_alpha 90.00
_cell_angle_beta 90.00
_cell_angle_gamma 90.00
loop_
_space_group_symop_operation_xyz
'x,y,z'
'-x,-y,z'
'-x,y,z'
'x,-y,z'
'x+1/2,y+1/2,z+1/2'
'-x+1/2,-y+1/2,z+1/2'
'-x+1/2,y+1/2,z+1/2'
'x+1/2,-y+1/2,z+1/2'
loop_
_atom_site_label
_atom_site_fract_x
_atom_site_fract_y
_atom_site_fract_z
_atom_site_occupancy
Ba1 0.0000 0.0000 0.0000 1
Sr1 0.0000 0.0000 0.3758 1
Sr2 0.0000 0.5000 0.1824 1
Cl1 0.0000 0.5000 0.6983 1
```

---

Version two
Compound: BaSr2Cl
Source: the Alexandria database
Functional: GGA-PBEsol
Structure: optimized geometry

```
data_BaSr2Cl
_chemical_formula_sum 'Ba2 Sr4 Cl2'
_space_group_name_H-M_alt 'I m m m'
_space_group_IT_number 71
_space_group_name_Hall '-I 2 2'
_cell_length_a 3.9664
_cell_length_b 7.1714
_cell_length_c 12.3303
_cell_angle_alpha 90.00
_cell_angle_beta 90.00
_cell_angle_gamma 90.00
loop_
_atom_site_label
_atom_site_fract_x
_atom_site_fract_y
_atom_site_fract_z
_atom_site_occupancy
Ba1 0.0000 0.0000 0.0000 1
Sr1 0.0000 0.5000 0.1918 1
Cl1 0.0000 0.0000 0.5000 1
```

---

Version three
Compound: BaSr2Cl
Source: the Alexandria database
Functional: GGA-PBEsol
Structure: optimized geometry

```
data_BaSr2Cl
_chemical_formula_sum 'Ba3 Sr6 Cl3'
_space_group_name_H-M_alt 'R -3 m'
_space_group_IT_number 166
_space_group_name_Hall '-R 3 2"'
_cell_length_a 4.1378
_cell_length_b 4.1378
_cell_length_c 33.4853
_cell_angle_alpha 90.00
_cell_angle_beta 90.00
_cell_angle_gamma 120.00
loop_
_atom_site_label
_atom_site_fract_x
_atom_site_fract_y
_atom_site_fract_z
_atom_site_occupancy
Ba1 0.0000 0.0000 0.0000 1
Sr1 0.0000 0.0000 0.2292 1
Cl1 0.0000 0.0000 0.5000 1
```

---

Most stable to least stable, the ends of the list are version three and version one.

---

Version one
Compound: BaTa2Cl
Source: the Alexandria database
Functional: GGA-PBEsol
Structure: optimized geometry

```
data_BaTa2Cl
_chemical_formula_sum 'Ba2 Ta4 Cl2'
_space_group_name_H-M_alt 'A m m 2'
_space_group_IT_number 38
_cell_length_a 3.2256
_cell_length_b 3.6344
_cell_length_c 16.4375
_cell_angle_alpha 90.00
_cell_angle_beta 90.00
_cell_angle_gamma 90.00
loop_
_space_group_symop_operation_xyz
'x,y,z'
'-x,-y,z'
'-x,y,z'
'x,-y,z'
'x,y+1/2,z+1/2'
'-x,-y+1/2,z+1/2'
'-x,y+1/2,z+1/2'
'x,-y+1/2,z+1/2'
loop_
_atom_site_label
_atom_site_fract_x
_atom_site_fract_y
_atom_site_fract_z
_atom_site_occupancy
Ba1 0.0000 0.0000 0.0000 1
Ta1 0.0000 0.0000 0.2351 1
Ta2 0.5000 0.0000 0.6563 1
Cl1 0.5000 0.0000 0.3641 1
```

---

Version two
Compound: BaTa2Cl
Source: the Alexandria database
Functional: GGA-PBEsol
Structure: optimized geometry

```
data_BaTa2Cl
_chemical_formula_sum 'Ba1 Ta2 Cl1'
_space_group_name_H-M_alt 'P 4 m m'
_space_group_IT_number 99
_cell_length_a 3.4989
_cell_length_b 3.4989
_cell_length_c 8.4385
_cell_angle_alpha 90.00
_cell_angle_beta 90.00
_cell_angle_gamma 90.00
loop_
_space_group_symop_operation_xyz
'x,y,z'
'-y,x,z'
'-x,-y,z'
'y,-x,z'
'-x,y,z'
'y,x,z'
'x,-y,z'
'-y,-x,z'
loop_
_atom_site_label
_atom_site_fract_x
_atom_site_fract_y
_atom_site_fract_z
_atom_site_occupancy
Ba1 0.0000 0.0000 0.0000 1
Ta1 0.0000 0.0000 0.5623 1
Ta2 0.5000 0.5000 0.6846 1
Cl1 0.5000 0.5000 0.2251 1
```

---

Most stable to least stable, the ends of the list are version one and version two.

---

Version one
Compound: BaTa2Cl
Source: the Alexandria database
Functional: GGA-PBEsol
Structure: optimized geometry

```
data_BaTa2Cl
_chemical_formula_sum 'Ba1 Ta2 Cl1'
_space_group_name_H-M_alt 'P 4/m m m'
_space_group_IT_number 123
_space_group_name_Hall '-P 4 2'
_cell_length_a 3.9389
_cell_length_b 3.9389
_cell_length_c 7.2515
_cell_angle_alpha 90.00
_cell_angle_beta 90.00
_cell_angle_gamma 90.00
loop_
_atom_site_label
_atom_site_fract_x
_atom_site_fract_y
_atom_site_fract_z
_atom_site_occupancy
Ba1 0.0000 0.0000 0.0000 1
Ta1 0.0000 0.5000 0.5000 1
Cl1 0.5000 0.5000 0.0000 1
```

---

Version two
Compound: BaTa2Cl
Source: the Alexandria database
Functional: GGA-PBEsol
Structure: optimized geometry

```
data_BaTa2Cl
_chemical_formula_sum 'Ba1 Ta2 Cl1'
_space_group_name_H-M_alt 'P m m m'
_space_group_IT_number 47
_cell_length_a 3.2138
_cell_length_b 4.6240
_cell_length_c 7.0664
_cell_angle_alpha 90.00
_cell_angle_beta 90.00
_cell_angle_gamma 90.00
loop_
_space_group_symop_operation_xyz
'x,y,z'
'-x,-y,-z'
'-x,-y,z'
'x,y,-z'
'x,-y,-z'
'-x,y,z'
'-x,y,-z'
'x,-y,z'
loop_
_atom_site_label
_atom_site_fract_x
_atom_site_fract_y
_atom_site_fract_z
_atom_site_occupancy
Ba1 0.0000 0.0000 0.0000 1
Ta1 0.0000 0.5000 0.5000 1
Ta2 0.5000 0.0000 0.5000 1
Cl1 0.5000 0.5000 0.0000 1
```

---

Most stable to least stable, the ends of the list are version two and version one.